A geometry-optimized Pm4BI5 structure. Source: Alexandria, functional GGA-PBE.

Computed properties:
magnetization = 0.00 μB per cell
uncorrected energy = -4.4282 eV/atom
E_form (uncorrected) = -1.0851 eV/atom
E above lowest polymorph = 0.0198 eV per atom

Cell: 21.399 4.172 8.818 Å, 90.00 90.26 90.00°
Space group C2/m (No. 12)
One atom of each set of equivalent atoms:
Pm (0.000, 0.000, 0.202) [4 per cell]
Pm (0.120, 0.500, 0.001) [4 per cell]
B (0.000, 0.500, 0.000) [2 per cell]
I (0.000, 0.500, 0.500) [2 per cell]
I (0.151, 0.000, 0.259) [4 per cell]
I (0.151, 0.000, 0.744) [4 per cell]